Entry 1:
This record from Alexandria describes an optimized crystal structure of Sc4TlCdAg2. The functional is PBE.

Properties
Spin magnetization, μB per formula unit: 0.0
Energy, eV/atom: -4.57

```
Sc4TlCdAg2
1.0
2.473 1.428 8.125
-2.473 1.428 8.125
0.000 -2.856 8.125
Sc Tl Cd Ag
4 1 1 2
Cartesian
0.000 0.000 3.024
0.000 0.000 9.132
0.000 0.000 15.244
0.000 0.000 21.352
0.000 0.000 12.188
0.000 0.000 0.000
0.000 0.000 6.200
0.000 0.000 18.176
```

Entry 2:
This record from Alexandria describes an optimized crystal structure of BeSeBr2. The functional is PBE.

Properties
E above lowest polymorph, meV per atom: 301
Spin magnetization, μB per formula unit: 0.7
Energy relative to the elements, uncorrected, meV per atom: -141

```
BeSeBr2
1.0
5.085 0.000 0.000
0.000 3.253 0.000
-1.763 0.000 6.705
Be Se Br
1 1 2
Cartesian
0.000 0.000 0.000
2.542 0.000 0.000
0.290 1.627 1.658
3.031 1.627 5.047
```

Entry 3:
This record from Alexandria describes an optimized crystal structure of VCdTe2. The functional is PBE.

Properties
Spin magnetization, μB per formula unit: 0.7
Energy relative to the elements, uncorrected, meV per atom: -153

```
VCdTe2
1.0
1.765 1.019 10.103
-1.765 1.019 10.103
0.000 -2.038 10.103
V Cd Te
1 1 2
Cartesian
0.000 0.000 0.000
0.000 0.000 15.155
0.000 0.000 11.850
0.000 0.000 18.460
```

Entry 4:
This record from Alexandria describes an optimized crystal structure of Ca2Pr3Sm6. The functional is PBE.

Properties
Spin magnetization, μB per formula unit: 0.0
Energy, eV/atom: -4.21

```
Ca2Pr3Sm6
1.0
1.843 1.064 33.394
-1.843 1.064 33.394
0.000 -2.128 33.394
Ca Pr Sm
2 3 6
Cartesian
0.000 0.000 4.598
0.000 0.000 95.583
0.000 0.000 22.694
0.000 0.000 50.090
0.000 0.000 77.487
0.000 0.000 13.714
0.000 0.000 31.984
0.000 0.000 41.172
0.000 0.000 59.008
0.000 0.000 68.196
0.000 0.000 86.466
```

Entry 5:
This record from Alexandria describes an optimized crystal structure of Pr2O3. The functional is PBE.

Properties
Spin magnetization, μB per formula unit: 0.0
Energy relative to the elements, uncorrected, meV per atom: -3291

```
Pr2O3
1.0
3.899 0.000 0.000
-1.950 3.377 0.000
0.000 0.000 6.138
Pr O
2 3
Cartesian
0.000 2.251 1.526
1.950 1.126 4.611
0.000 0.000 0.000
0.000 2.251 3.957
1.950 1.126 2.181
```

Entry 6:
This record from Alexandria describes an optimized crystal structure of LaSiSb2. The functional is PBE.

Properties
Spin magnetization, μB per formula unit: 0.0
Energy relative to the elements, uncorrected, meV per atom: -289

```
LaSiSb2
1.0
4.082 0.000 0.000
0.000 4.082 0.000
0.000 0.000 6.382
La Si Sb
1 1 2
Cartesian
0.000 0.000 0.000
2.041 2.041 4.350
0.000 0.000 3.294
2.041 2.041 1.569
```

Entry 7:
This record from Alexandria describes an optimized crystal structure of LiTbMg5. The functional is PBE.

Properties
E above lowest polymorph, meV per atom: 118
Spin magnetization, μB per formula unit: 0.0

```
LiTbMg5
1.0
3.090 -4.554 0.000
3.090 4.554 0.000
0.000 0.000 6.679
Li Tb Mg
1 1 5
Cartesian
0.000 0.000 0.000
3.090 0.000 3.340
1.545 2.277 1.613
1.545 2.277 5.066
1.545 -2.277 1.613
1.545 -2.277 5.066
3.090 0.000 0.000
```

Entry 8:
This record from Alexandria describes an optimized crystal structure of ThReAs. The functional is PBE.

Properties
Spin magnetization, μB per formula unit: 0.0
Energy, eV/atom: -8.22

```
ThReAs
1.0
4.346 -1.952 0.000
4.346 1.952 0.000
-1.203 0.000 8.070
Th Re As
2 2 2
Cartesian
1.395 0.000 1.327
6.094 0.000 6.743
2.455 0.000 4.326
5.034 0.000 3.745
-0.090 0.000 5.403
7.579 0.000 2.667
```

Entry 9:
This record from Alexandria describes an optimized crystal structure of Sr2SmCdO4. The functional is PBE.

Properties
Spin magnetization, μB per formula unit: 0.0
Energy relative to the elements, uncorrected, meV per atom: -2331

```
Sr2SmCdO4
1.0
6.266 0.000 0.000
0.000 3.621 0.000
-2.100 0.000 5.989
Sr Sm Cd O
2 1 1 4
Cartesian
0.000 0.000 0.000
-1.050 1.811 2.994
2.083 0.000 2.994
3.133 1.811 0.000
0.066 0.000 4.305
1.055 1.811 1.676
3.112 1.811 4.313
4.101 0.000 1.684
```

Entry 10:
This record from Alexandria describes an optimized crystal structure of TaMn2Au. The functional is PBE.

Properties
E above lowest polymorph, meV per atom: 104
Spin magnetization, μB per formula unit: 6.2

```
TaMn2Au
1.0
2.895 0.000 0.000
0.000 2.895 0.000
0.000 0.000 7.590
Ta Mn Au
1 2 1
Cartesian
0.000 0.000 0.000
1.447 1.447 1.890
1.447 1.447 5.699
0.000 0.000 3.795
```

Entry 11:
This record from Alexandria describes an optimized crystal structure of Tb3NdHo2. The functional is PBE.

Properties
E above lowest polymorph, meV per atom: 21
Spin magnetization, μB per formula unit: 0.0

```
Tb3NdHo2
1.0
8.744 -3.566 0.000
8.744 3.566 0.000
-0.011 0.000 6.174
Tb Nd Ho
6 2 4
Cartesian
8.736 2.682 4.631
5.798 0.895 3.606
5.804 -0.895 0.519
11.674 0.895 5.655
11.679 -0.895 2.568
8.742 -2.682 1.544
8.742 0.898 1.544
8.736 -0.898 4.631
2.918 0.887 5.667
2.923 -0.887 2.580
14.554 0.887 3.594
14.560 -0.887 0.507
```

Entry 12:
This record from Alexandria describes an optimized crystal structure of BPd. The functional is PBE.

Properties
Spin magnetization, μB per formula unit: 0.0
Energy, eV/atom: -5.60

```
BPd
1.0
7.310 0.000 0.000
0.000 7.310 0.000
0.000 0.000 4.327
B Pd
8 8
Cartesian
0.605 4.266 0.000
1.175 2.519 2.164
2.519 6.135 2.164
3.044 0.605 0.000
4.266 6.705 0.000
4.791 1.175 2.164
6.135 4.791 2.164
6.705 3.044 0.000
0.973 4.646 2.164
1.470 2.192 0.000
2.192 5.840 0.000
2.664 0.973 2.164
4.646 6.337 2.164
5.118 1.470 0.000
5.840 5.118 0.000
6.337 2.664 2.164
```

Entry 13:
This record from Alexandria describes an optimized crystal structure of AcHo5Tm2. The functional is PBE.

Properties
Spin magnetization, μB per formula unit: 0.0
Energy, eV/atom: -4.45

```
AcHo5Tm2
1.0
7.161 0.000 0.000
0.000 20.077 0.000
0.000 0.000 7.157
Ac Ho Tm
4 20 8
Cartesian
1.786 2.500 0.000
1.794 12.539 0.000
5.367 7.539 0.000
5.375 17.577 0.000
0.000 10.039 1.840
0.000 10.039 5.317
0.005 15.058 1.837
0.005 15.058 5.320
1.787 7.535 0.000
1.787 7.533 3.578
1.793 17.572 3.578
1.794 17.574 0.000
3.575 5.020 1.837
3.575 5.020 5.320
3.581 0.000 1.840
3.581 0.000 5.317
3.586 15.058 1.837
3.586 15.058 5.320
5.367 2.503 0.000
5.368 2.505 3.578
5.374 12.544 3.578
5.374 12.542 0.000
7.156 5.019 1.837
7.156 5.019 5.320
0.000 0.000 1.842
0.000 0.000 5.314
1.783 2.504 3.578
1.797 12.543 3.578
3.581 10.039 1.842
3.581 10.039 5.314
5.364 7.535 3.578
5.378 17.573 3.578
```

Entry 14:
This record from Alexandria describes an optimized crystal structure of Dy2TmAu. The functional is PBE.

Properties
E above lowest polymorph, meV per atom: 60
Spin magnetization, μB per formula unit: 0.0

```
Dy2TmAu
1.0
2.448 -5.897 0.000
2.448 5.897 0.000
0.000 0.000 7.822
Dy Tm Au
4 2 2
Cartesian
2.448 4.211 4.187
2.448 4.211 7.545
2.448 -4.211 0.277
2.448 -4.211 3.634
2.448 0.492 5.866
2.448 -0.492 1.955
2.448 2.406 1.955
2.448 -2.406 5.866
```

Entry 15:
This record from Alexandria describes an optimized crystal structure of RbTiTeN2. The functional is PBE.

Properties
E above lowest polymorph, meV per atom: 0
Spin magnetization, μB per formula unit: 2.8
Energy relative to the elements, uncorrected, meV per atom: 399

```
RbTiTeN2
1.0
4.375 0.000 0.000
0.000 4.375 0.000
0.000 0.000 5.413
Rb Ti Te N
1 1 1 2
Cartesian
0.000 0.000 0.000
2.187 2.187 2.706
2.187 2.187 0.000
0.000 2.187 2.706
2.187 0.000 2.706
```

Entry 16:
This record from Alexandria describes an optimized crystal structure of SrTeIO2. The functional is PBE.

Properties
E above lowest polymorph, meV per atom: 470
Spin magnetization, μB per formula unit: 2.6
Energy relative to the elements, uncorrected, meV per atom: -332

```
SrTeIO2
1.0
4.634 0.000 0.000
0.000 4.634 0.000
0.000 0.000 7.099
Sr Te I O
1 1 1 2
Cartesian
0.000 0.000 0.000
2.317 2.317 3.549
0.000 0.000 3.549
0.000 2.317 0.000
2.317 0.000 0.000
```

Entry 17:
This record from Alexandria describes an optimized crystal structure of Sm4DySn. The functional is PBE.

Properties
Spin magnetization, μB per formula unit: 0.0
Energy, eV/atom: -4.51

```
Sm4DySn
1.0
2.689 -11.789 0.000
2.689 11.789 0.000
0.000 0.000 6.748
Sm Dy Sn
8 2 2
Cartesian
2.689 9.872 5.061
2.689 7.030 3.393
2.689 7.030 6.730
2.689 3.462 5.061
2.689 -3.462 1.687
2.689 -7.030 0.018
2.689 -7.030 3.356
2.689 -9.872 1.687
2.689 10.315 1.687
2.689 -10.315 5.061
2.689 3.974 1.687
2.689 -3.974 5.061
```

Entry 18:
This record from Alexandria describes an optimized crystal structure of Rb2NaH6Ir. The functional is PBE.

Properties
Spin magnetization, μB per formula unit: 0.2
Energy, eV/atom: -3.56

```
Rb2NaH6Ir
1.0
0.000 4.156 4.156
4.156 0.000 4.156
4.156 4.156 0.000
Rb Na H Ir
2 1 6 1
Cartesian
2.078 2.078 2.078
6.233 6.233 6.233
0.000 0.000 0.000
4.156 4.156 2.452
4.156 2.452 4.156
5.860 4.156 4.156
2.452 4.156 4.156
4.156 5.860 4.156
4.156 4.156 5.860
4.156 4.156 4.156
```

Entry 19:
This record from Alexandria describes an optimized crystal structure of LiErZn2Ga4. The functional is PBE.

Properties
Spin magnetization, μB per formula unit: 0.0
Energy, eV/atom: -2.89

```
LiErZn2Ga4
1.0
2.208 1.275 8.368
-2.208 1.275 8.368
0.000 -2.549 8.368
Li Er Zn Ga
1 1 2 4
Cartesian
0.000 0.000 0.000
0.000 0.000 12.552
0.000 0.000 6.366
0.000 0.000 18.739
0.000 0.000 2.685
0.000 0.000 9.301
0.000 0.000 15.804
0.000 0.000 22.420
```

Entry 20:
This record from Alexandria describes an optimized crystal structure of NdTl2Os3O12. The functional is PBE.

Properties
Spin magnetization, μB per formula unit: 1.5
Energy relative to the elements, uncorrected, meV per atom: -1250

```
NdTl2Os3O12
1.0
3.675 2.122 6.280
-3.675 2.122 6.280
0.000 -4.243 6.280
Nd Tl Os O
1 2 3 12
Cartesian
0.000 0.000 0.000
0.000 0.000 6.536
0.000 0.000 12.305
-3.675 0.000 9.420
-1.837 1.061 3.140
1.837 1.061 3.140
-2.305 -1.331 9.346
0.000 -2.228 5.032
-1.929 1.114 5.032
0.000 -2.661 9.495
-2.305 1.331 9.495
-1.929 -1.114 13.808
1.929 1.114 5.032
2.305 -1.331 9.346
0.000 2.661 9.346
1.929 -1.114 13.808
0.000 2.228 13.808
2.305 1.331 9.495
```

Entry 21:
This record from Alexandria describes an optimized crystal structure of VSb2PI. The functional is PBE.

Properties
E above lowest polymorph, meV per atom: 1007
Spin magnetization, μB per formula unit: 0.2
Energy relative to the elements, uncorrected, meV per atom: 1154

```
VSb2PI
1.0
5.184 0.000 0.000
0.000 5.184 0.000
0.000 0.000 5.212
V Sb P I
1 2 1 1
Cartesian
0.000 0.000 0.000
0.000 2.592 2.606
2.592 0.000 2.606
2.592 2.592 2.606
2.592 2.592 0.000
```

Entry 22:
This record from Alexandria describes an optimized crystal structure of AuO. The functional is PBE.

Properties
Spin magnetization, μB per formula unit: 0.0
Energy relative to the elements, uncorrected, meV per atom: 356

```
AuO
1.0
3.146 0.000 0.000
0.000 3.080 0.000
-1.568 0.000 6.173
Au O
2 2
Cartesian
-0.001 0.770 1.416
1.579 2.310 4.757
0.006 0.770 4.497
1.571 2.310 1.676
```

Entry 23:
This record from Alexandria describes an optimized crystal structure of CsBa2Pt. The functional is PBE.

Properties
E above lowest polymorph, meV per atom: 467
Spin magnetization, μB per formula unit: 0.0

```
CsBa2Pt
1.0
0.000 4.235 4.235
4.235 0.000 4.235
4.235 4.235 0.000
Cs Ba Pt
1 2 1
Cartesian
0.000 0.000 0.000
2.117 2.117 2.117
6.352 6.352 6.352
4.235 4.235 4.235
```

Entry 24:
This record from Alexandria describes an optimized crystal structure of Ti7Sb2H2Pd. The functional is PBE.

Properties
Spin magnetization, μB per formula unit: 0.0
Energy, eV/atom: -6.73

```
Ti7Sb2H2Pd
1.0
2.775 -2.775 0.000
2.775 2.775 0.000
-2.766 0.000 11.803
Ti Sb H Pd
7 2 2 1
Cartesian
0.000 0.000 0.000
1.387 1.388 2.174
-0.002 0.000 4.788
1.396 1.388 9.630
1.387 -1.388 2.174
2.786 0.000 7.016
1.396 -1.388 9.630
0.009 0.000 7.562
2.774 0.000 4.241
0.001 0.000 1.960
2.783 0.000 9.843
2.775 0.000 0.000
```